Arrangement a

SrLuAuS3: optimized geometry, PBE.

Its theoretical density is 6860 kg/m³. The space group is Cmcm (63). As for the volume: 269 Å³/cell. Its total magnetization is 0.007 μB/f.u.

abc: 6.9148 6.9148 10.2088
angles: 90.00 90.00 146.55
With the nearest neighbours (Å) after each atom.
Element x y z (fractional)
Sr 0.2503 0.7497 0.7500  6 S 2.96-3.24
Sr 0.7497 0.2503 0.2500  6 S 2.96-3.24
Lu 0.0000 0.0000 0.0000  6 S 2.75-2.78
Lu 0.0000 0.0000 0.5000  6 S 2.75-2.78
Au 0.4596 0.5404 0.2500  4 S 2.45-2.58
Au 0.5404 0.4596 0.7500  4 S 2.45-2.58
S 0.0841 0.9159 0.2500  2 Au 2.58, 2 Lu 2.78
S 0.3614 0.6386 0.0463  1 Au 2.45
S 0.3614 0.6386 0.4537  1 Au 2.45
S 0.6386 0.3614 0.5463  1 Au 2.45
S 0.6386 0.3614 0.9537  1 Au 2.45
S 0.9159 0.0841 0.7500  2 Au 2.58, 2 Lu 2.78

***

Arrangement b

SrLuAuS3: optimized geometry, PBE.

Its theoretical density is 6800 kg/m³. The space group is Pnma (62). As for the volume: 543 Å³/cell. Its total magnetization is 0.001 μB/f.u.

abc: 12.5567 3.9798 10.8632
angles: 90.00 90.00 90.00
With the nearest neighbours (Å) after each atom.
Element x y z (fractional)
Sr 0.1861 0.2500 0.0328  6 S 3.06-3.22, 3 Au 3.15-3.29
Sr 0.3139 0.7500 0.5328  6 S 3.06-3.22, 3 Au 3.15-3.29
Sr 0.6861 0.2500 0.4672  6 S 3.06-3.22, 3 Au 3.15-3.29
Sr 0.8139 0.7500 0.9672  6 S 3.06-3.22, 3 Au 3.15-3.29
Lu 0.0125 0.7500 0.6665  6 S 2.72-2.76
Lu 0.4875 0.2500 0.1665  6 S 2.72-2.76
Lu 0.5125 0.7500 0.8335  6 S 2.72-2.76
Lu 0.9875 0.2500 0.3335  6 S 2.72-2.76
Au 0.2011 0.7500 0.2736  3 S 2.39-2.49
Au 0.2989 0.2500 0.7736  3 S 2.39-2.49
Au 0.7011 0.7500 0.2264  3 S 2.39-2.49
Au 0.7989 0.2500 0.7264  3 S 2.39-2.49
S 0.0351 0.7500 0.1664  1 Au 2.39
S 0.1123 0.2500 0.5413  3 Lu 2.72-2.75
S 0.1861 0.7500 0.8189  2 Au 2.49, 1 Lu 2.74
S 0.3139 0.2500 0.3189  2 Au 2.49, 1 Lu 2.74
S 0.3877 0.7500 0.0413  3 Lu 2.72-2.75
S 0.4649 0.2500 0.6664  1 Au 2.39
S 0.5351 0.7500 0.3336  1 Au 2.39
S 0.6123 0.2500 0.9587  3 Lu 2.72-2.75
S 0.6861 0.7500 0.6811  2 Au 2.49, 1 Lu 2.74
S 0.8139 0.2500 0.1811  2 Au 2.49, 1 Lu 2.74
S 0.8877 0.7500 0.4587  3 Lu 2.72-2.75
S 0.9649 0.2500 0.8336  1 Au 2.39

***

Arrangement c

SrLuAuS3: optimized geometry, PBE.

Its theoretical density is 6711 kg/m³. The space group is P2_1/m (11). As for the volume: 275 Å³/cell. Its total magnetization is 0.007 μB/f.u.

abc: 7.6994 3.9538 9.3955
angles: 90.00 105.95 90.00
With the nearest neighbours (Å) after each atom.
Element x y z (fractional)
Sr 0.2400 0.2500 0.2784  6 S 3.01-3.11, 1 Au 3.32
Sr 0.7600 0.7500 0.7216  6 S 3.01-3.11, 1 Au 3.32
Lu 0.3141 0.7500 0.8413  6 S 2.67-2.78
Lu 0.6859 0.2500 0.1587  6 S 2.67-2.78
Au 0.1204 0.2500 0.5923  3 S 2.51-2.55
Au 0.8796 0.7500 0.4077  3 S 2.51-2.55
S 0.0722 0.2500 0.8463  1 Au 2.51, 2 Lu 2.73
S 0.3045 0.7500 0.5432  2 Au 2.55, 1 Lu 2.78
S 0.4351 0.7500 0.1363  3 Lu 2.67-2.73
S 0.5649 0.2500 0.8637  3 Lu 2.67-2.73
S 0.6955 0.2500 0.4568  2 Au 2.55, 1 Lu 2.78
S 0.9278 0.7500 0.1537  1 Au 2.51, 2 Lu 2.73

***

Verdict on stability: arrangement b comes out at the bottom.

***

Arrangement a

LuTlTe3Au: optimized geometry, PBE.

Its theoretical density is 8543 kg/m³. The space group is P2_1/m (11). As for the volume: 373 Å³/cell. Its total magnetization is 0.004 μB/f.u.

abc: 8.7980 4.1518 10.9010
angles: 90.00 110.54 90.00
With the nearest neighbours (Å) after each atom.
Element x y z (fractional)
Lu 0.1996 0.2500 0.1612  6 Te 3.01-3.04, 2 Au 3.28
Lu 0.8004 0.7500 0.8388  6 Te 3.01-3.04, 2 Au 3.28
Tl 0.2338 0.7500 0.7110  6 Te 3.35-3.54
Tl 0.7662 0.2500 0.2890  6 Te 3.35-3.54
Te 0.0604 0.2500 0.8639  3 Lu 3.03-3.04, 2 Tl 3.35
Te 0.2390 0.2500 0.4498  3 Au 2.80-2.94, 1 Lu 3.04
Te 0.4398 0.7500 0.1458  1 Au 2.74, 2 Lu 3.01
Te 0.5602 0.2500 0.8542  1 Au 2.74, 2 Lu 3.01
Te 0.7610 0.7500 0.5502  3 Au 2.80-2.94, 1 Lu 3.04
Te 0.9396 0.7500 0.1361  3 Lu 3.03-3.04, 2 Tl 3.35
Au 0.4143 0.7500 0.3894  4 Te 2.74-2.94
Au 0.5857 0.2500 0.6106  4 Te 2.74-2.94

***

Arrangement b

LuTlTe3Au: optimized geometry, PBE.

Its theoretical density is 8745 kg/m³. The space group is Cmcm (63). As for the volume: 364 Å³/cell. Its total magnetization is 0.011 μB/f.u.

abc: 8.1414 8.1414 11.1524
angles: 90.00 90.00 150.48
With the nearest neighbours (Å) after each atom.
Element x y z (fractional)
Lu 0.0000 0.0000 0.0000  6 Te 3.03-3.07
Lu 0.0000 0.0000 0.5000  6 Te 3.03-3.07
Tl 0.2362 0.7638 0.7500  6 Te 3.45-3.53, 2 Au 3.78
Tl 0.7638 0.2362 0.2500  6 Te 3.45-3.53, 2 Au 3.78
Te 0.0822 0.9178 0.2500  2 Au 2.78, 2 Lu 3.07
Te 0.3634 0.6366 0.0471  1 Au 2.77, 2 Lu 3.03
Te 0.3634 0.6366 0.4529  1 Au 2.77, 2 Lu 3.03
Te 0.6366 0.3634 0.5471  1 Au 2.77, 2 Lu 3.03
Te 0.6366 0.3634 0.9529  1 Au 2.77, 2 Lu 3.03
Te 0.9178 0.0822 0.7500  2 Au 2.78, 2 Lu 3.07
Au 0.4646 0.5354 0.2500  4 Te 2.77-2.78
Au 0.5354 0.4646 0.7500  4 Te 2.77-2.78

***

Verdict on stability: arrangement a comes out at the bottom.

***

Arrangement a

Lu2ZnAu: optimized geometry, PBE.

Its theoretical density is 10683 kg/m³. The space group is P6_3/mmc (194). As for the volume: 190 Å³/cell. Its total magnetization is 0.011 μB/f.u.

abc: 3.9964 3.9964 13.7621
angles: 90.00 90.00 120.00
With the nearest neighbours (Å) after each atom.
Element x y z (fractional)
Lu 0.3333 0.6667 0.1222  3 Zn 2.86, 3 Au 2.90
Lu 0.3333 0.6667 0.3778  3 Zn 2.86, 3 Au 2.90
Lu 0.6667 0.3333 0.6222  3 Zn 2.86, 3 Au 2.90
Lu 0.6667 0.3333 0.8778  3 Zn 2.86, 3 Au 2.90
Zn 0.0000 0.0000 0.0000  6 Lu 2.86
Zn 0.0000 0.0000 0.5000  6 Lu 2.86
Au 0.3333 0.6667 0.7500  6 Lu 2.90
Au 0.6667 0.3333 0.2500  6 Lu 2.90

***

Arrangement b

Lu2ZnAu: optimized geometry, PBE.

Its theoretical density is 12180 kg/m³. The space group is F-43m (216). As for the volume: 334 Å³/cell. Its total magnetization is 0.750 μB/f.u.

abc: 6.9377 6.9377 6.9377
angles: 90.00 90.00 90.00
With the nearest neighbours (Å) after each atom.
Element x y z (fractional)
Lu 0.0000 0.0000 0.0000  4 Lu 3.00, 4 Zn 3.00
Lu 0.0000 0.5000 0.5000  4 Lu 3.00, 4 Zn 3.00
Lu 0.2500 0.2500 0.2500  4 Lu 3.00, 4 Au 3.00
Lu 0.2500 0.7500 0.7500  4 Lu 3.00, 4 Au 3.00
Lu 0.5000 0.0000 0.5000  4 Lu 3.00, 4 Zn 3.00
Lu 0.5000 0.5000 0.0000  4 Lu 3.00, 4 Zn 3.00
Lu 0.7500 0.2500 0.7500  4 Lu 3.00, 4 Au 3.00
Lu 0.7500 0.7500 0.2500  4 Lu 3.00, 4 Au 3.00
Zn 0.2500 0.2500 0.7500  4 Lu 3.00, 4 Au 3.00
Zn 0.2500 0.7500 0.2500  4 Lu 3.00, 4 Au 3.00
Zn 0.7500 0.2500 0.2500  4 Lu 3.00, 4 Au 3.00
Zn 0.7500 0.7500 0.7500  4 Au 3.00, 4 Lu 3.00
Au 0.0000 0.0000 0.5000  4 Zn 3.00, 4 Lu 3.00
Au 0.0000 0.5000 0.0000  4 Zn 3.00, 4 Lu 3.00
Au 0.5000 0.0000 0.0000  4 Zn 3.00, 4 Lu 3.00
Au 0.5000 0.5000 0.5000  4 Zn 3.00, 4 Lu 3.00

***

Verdict on stability: arrangement b comes out at the bottom.

***

Arrangement a

MgAuNO: optimized geometry, PBE.

Its theoretical density is 7652 kg/m³. The space group is Pbcm (57). As for the volume: 218 Å³/cell.

abc: 7.7961 6.3684 4.3930
angles: 90.00 90.00 90.00
With the nearest neighbours (Å) after each atom.
Element x y z (fractional)
Mg 0.1143 0.0909 0.2500  1 O 2.04, 4 N 2.06-2.20
Mg 0.1143 0.4091 0.7500  1 O 2.04, 4 N 2.06-2.20
Mg 0.8857 0.5909 0.2500  1 O 2.04, 4 N 2.06-2.20
Mg 0.8857 0.9091 0.7500  1 O 2.04, 4 N 2.06-2.20
Au 0.3583 0.9997 0.7500  1 N 2.00, 3 O 2.13-2.20
Au 0.3583 0.5003 0.2500  1 N 2.00, 3 O 2.13-2.20
Au 0.6417 0.0003 0.2500  1 N 2.00, 3 O 2.13-2.20
Au 0.6417 0.4997 0.7500  1 N 2.00, 3 O 2.13-2.20
N 0.1108 0.0796 0.7500  1 Au 2.00, 4 Mg 2.06-2.20
N 0.1108 0.4204 0.2500  1 Au 2.00, 4 Mg 2.06-2.20
N 0.8892 0.5796 0.7500  1 Au 2.00, 4 Mg 2.06-2.20
N 0.8892 0.9204 0.2500  1 Au 2.00, 4 Mg 2.06-2.20
O 0.3690 0.0197 0.2500  1 Mg 2.04, 3 Au 2.13-2.20
O 0.3690 0.4803 0.7500  1 Mg 2.04, 3 Au 2.13-2.20
O 0.6310 0.5197 0.2500  1 Mg 2.04, 3 Au 2.13-2.20
O 0.6310 0.9803 0.7500  1 Mg 2.04, 3 Au 2.13-2.20

***

Arrangement b

MgAuNO: optimized geometry, PBE.

Its theoretical density is 9194 kg/m³. The space group is P4/mmm (123). As for the volume: 45 Å³/cell.

abc: 3.2750 3.2750 4.2310
angles: 90.00 90.00 90.00
With the nearest neighbours (Å) after each atom.
Element x y z (fractional)
Mg 0.0000 0.0000 0.0000  2 O 2.12, 4 N 2.32
Au 0.5000 0.5000 0.5000  2 N 2.12, 4 O 2.32
N 0.5000 0.5000 0.0000  2 Au 2.12, 4 Mg 2.32
O 0.0000 0.0000 0.5000  2 Mg 2.12, 4 Au 2.32

***

Verdict on stability: arrangement a comes out at the bottom.

***

Arrangement a

MgAuNO: optimized geometry, PBE.

Its theoretical density is 7690 kg/m³. The space group is Pmc2_1 (26). As for the volume: 109 Å³/cell.

abc: 3.5093 6.1171 5.0552
angles: 90.00 90.00 90.00
With the nearest neighbours (Å) after each atom.
Element x y z (fractional)
Mg 0.0000 0.1454 0.0000  2 O 1.94-1.96, 2 N 2.05
Mg 0.0000 0.8546 0.5000  2 O 1.94-1.96, 2 N 2.05
Au 0.5000 0.3999 0.4971  2 N 2.01-2.05
Au 0.5000 0.6001 0.9971  2 N 2.01-2.05
N 0.5000 0.2818 0.8689  2 Au 2.01-2.05, 2 Mg 2.05
N 0.5000 0.7182 0.3689  2 Au 2.01-2.05, 2 Mg 2.05
O 0.0000 0.1584 0.3872  2 Mg 1.94-1.96
O 0.0000 0.8416 0.8872  2 Mg 1.94-1.96

***

Arrangement b

MgAuNO: optimized geometry, PBE.

Its theoretical density is 8199 kg/m³. The space group is Pmc2_1 (26). As for the volume: 102 Å³/cell.

abc: 3.0857 5.8205 5.6670
angles: 90.00 90.00 90.00
With the nearest neighbours (Å) after each atom.
Element x y z (fractional)
Mg 0.0000 0.2395 0.0000  2 O 1.95, 1 N 2.09
Mg 0.0000 0.7605 0.5000  2 O 1.95, 1 N 2.09
Au 0.5000 0.2944 0.5269  2 N 2.12, 1 O 2.13
Au 0.5000 0.7056 0.0269  2 N 2.12, 1 O 2.13
N 0.0000 0.4311 0.3124  2 Mg 2.09-2.19, 2 Au 2.12
N 0.0000 0.5689 0.8124  2 Mg 2.09-2.19, 2 Au 2.12
O 0.5000 0.1003 0.8457  2 Mg 1.95, 1 Au 2.13
O 0.5000 0.8997 0.3457  2 Mg 1.95, 1 Au 2.13

***

Arrangement c

MgAuNO: optimized geometry, PBE.

Its theoretical density is 9176 kg/m³. The space group is P4/nmm (129). As for the volume: 91 Å³/cell.

abc: 4.6401 4.6401 4.2239
angles: 90.00 90.00 90.00
With the nearest neighbours (Å) after each atom.
Element x y z (fractional)
Mg 0.2500 0.7500 0.0000  2 O 2.11, 4 N 2.32
Mg 0.7500 0.2500 0.0000  2 O 2.11, 4 N 2.32
Au 0.2500 0.2500 0.4992  2 N 2.11, 4 O 2.32
Au 0.7500 0.7500 0.5008  2 N 2.11, 4 O 2.32
N 0.2500 0.2500 0.9991  2 Au 2.11, 4 Mg 2.32
N 0.7500 0.7500 0.0009  2 Au 2.11, 4 Mg 2.32
O 0.2500 0.7500 0.5000  2 Mg 2.11, 4 Au 2.32
O 0.7500 0.2500 0.5000  2 Mg 2.11, 4 Au 2.32

***

Verdict on stability: arrangement c comes out at the bottom.

***

Arrangement a

MgAuNO: optimized geometry, PBE.

Its theoretical density is 7832 kg/m³. The space group is Pca2_1 (29). As for the volume: 213 Å³/cell.

abc: 5.9659 6.8123 5.2433
angles: 90.00 90.00 90.00
With the nearest neighbours (Å) after each atom.
Element x y z (fractional)
Mg 0.0889 0.0965 0.0000  3 O 1.94
Mg 0.4111 0.0965 0.5000  3 O 1.94
Mg 0.5889 0.9035 0.0000  3 O 1.94
Mg 0.9111 0.9035 0.5000  3 O 1.94
Au 0.0620 0.5636 0.0050  3 N 2.05-2.14
Au 0.4380 0.5636 0.5050  3 N 2.05-2.14
Au 0.5620 0.4364 0.0050  3 N 2.05-2.14
Au 0.9380 0.4364 0.5050  3 N 2.05-2.14
N 0.1240 0.6697 0.6467  3 Au 2.05-2.14, 1 Mg 2.18
N 0.3760 0.6697 0.1467  3 Au 2.05-2.14, 1 Mg 2.18
N 0.6240 0.3303 0.6467  3 Au 2.05-2.14, 1 Mg 2.18
N 0.8760 0.3303 0.1467  3 Au 2.05-2.14, 1 Mg 2.18
O 0.1073 0.1077 0.6310  3 Mg 1.94
O 0.3927 0.1077 0.1310  3 Mg 1.94
O 0.6073 0.8923 0.6310  3 Mg 1.94
O 0.8927 0.8923 0.1310  3 Mg 1.94

***

Arrangement b

MgAuNO: optimized geometry, PBE.

Its theoretical density is 8207 kg/m³. The space group is P4/nmm (129). As for the volume: 102 Å³/cell.

abc: 4.1632 4.1632 5.8664
angles: 90.00 90.00 90.00
With the nearest neighbours (Å) after each atom.
Element x y z (fractional)
Mg 0.2500 0.2500 0.0457  4 O 2.10, 1 N 2.19
Mg 0.7500 0.7500 0.9543  4 O 2.10, 1 N 2.19
Au 0.2500 0.7500 0.5000  4 N 2.14
Au 0.7500 0.2500 0.5000  4 N 2.14
N 0.2500 0.2500 0.4185  4 Au 2.14, 1 Mg 2.19
N 0.7500 0.7500 0.5815  4 Au 2.14, 1 Mg 2.19
O 0.2500 0.7500 0.0000  4 Mg 2.10
O 0.7500 0.2500 0.0000  4 Mg 2.10

***

Verdict on stability: arrangement a comes out at the bottom.